VASP calculation (PBE) on a geometry-optimized CuPdI3 structure.

Cell: 5.5034 5.5034 5.5034 Å, 90.00 90.00 90.00°
Last column: nearest neighbours and their distance in Å.
Space group Pm-3m (No. 221)
Asymmetric unit:
Cu 0.0000 0.0000 0.0000 [1 per cell]  12 I 3.89
Pd 0.5000 0.5000 0.5000 [1 per cell]  6 I 2.75
I 0.0000 0.5000 0.5000 [3 per cell]  2 Pd 2.75

## Properties
- VASP energy: -2.3940 eV per atom
- Total moment: 0.0 μB per formula unit
- Energy relative to the lowest polymorph listed for this composition: 529.9 meV per atom
- Energy relative to the elements, uncorrected: 1.97 eV/f.u.
- Crystal system: cubic
- Density: 5.5 Mg/m³

***

VASP calculation (PBE) on a geometry-optimized Cu2PdI structure.

Cell: 6.5041 6.5041 6.5041 Å, 90.00 90.00 90.00°
Last column: nearest neighbours and their distance in Å.
Space group Fm-3m (No. 225)
Asymmetric unit:
Cu 0.2500 0.2500 0.2500 [8 per cell]  4 Pd 2.82, 4 I 2.82
Pd 0.0000 0.0000 0.0000 [4 per cell]  8 Cu 2.82
I 0.0000 0.0000 0.5000 [4 per cell]  8 Cu 2.82

## Properties
- VASP energy: -3.3201 eV per atom
- Total moment: 0.0 μB per formula unit
- Energy relative to the elements, uncorrected: 1.65 eV/f.u.
- Crystal system: cubic
- Density: 8.7 Mg/m³

***

VASP calculation (PBE) on a geometry-optimized CuPdI2 structure.

Cell: 7.2110 7.2110 7.2110 Å, 90.00 90.00 90.00°
Last column: nearest neighbours and their distance in Å.
Space group Fm-3m (No. 225)
Asymmetric unit:
Cu 0.0000 0.0000 0.0000 [4 per cell]  8 I 3.12
Pd 0.0000 0.0000 0.5000 [4 per cell]  8 I 3.12
I 0.2500 0.2500 0.2500 [8 per cell]  4 Cu 3.12, 4 Pd 3.12

## Properties
- VASP energy: -2.6001 eV per atom
- Total moment: 0.0 μB per formula unit
- Energy relative to the lowest polymorph listed for this composition: 526.3 meV per atom
- Energy relative to the elements, uncorrected: 1.99 eV/f.u.
- Crystal system: cubic
- Density: 7.5 Mg/m³

***

- Look up the density of the first one.
  5.5 Mg/m³

***

- VASP energy of number 1 (CuPdI3)?
  -2.3940 eV per atom

***

- Number 2 is which compound?
  Cu2PdI